[1]
The following is a PBE calculation of HRhN after structural relaxation, from Alexandria.

Values from the calculation:
DOS(E_F) = 8.035 states/eV per cell
V = 120.6 Å³/cell
DFT total energy = -6.20 eV/atom
Density = 6.496 g/cm³

Geometry as CIF:
```
data_HRhN
_symmetry_space_group_name_H-M 'C 1 2/m 1'
_symmetry_Int_Tables_number 12
_cell_length_a 5.257
_cell_length_b 3.049
_cell_length_c 7.728
_cell_angle_alpha 90.00
_cell_angle_beta 103.24
_cell_angle_gamma 90.00
loop_
_symmetry_equiv_pos_as_xyz
'x,y,z'
'-x,-y,-z'
'-x,y,-z'
'x,-y,z'
'x+1/2,y+1/2,z'
'-x+1/2,-y+1/2,-z'
'-x+1/2,y+1/2,-z'
'x+1/2,-y+1/2,z'
loop_
_atom_site_label
_atom_site_type_symbol
_atom_site_fract_x
_atom_site_fract_y
_atom_site_fract_z
H1 H 0.193 0.000 0.087
Rh1 Rh 0.117 0.000 0.836
N1 N 0.027 0.000 0.576
```

[2]
The following is a PBE calculation of Li3Er2SbS6 after structural relaxation, from Alexandria.

Values from the calculation:
DOS(E_F) = 0.000 states/eV per cell
V = 486.8 Å³/cell
Density = 4.568 g/cm³
Uncorrected formation energy = -141 kJ/mol of atoms

Geometry as CIF:
```
data_Li3Er2SbS6
_symmetry_space_group_name_H-M 'C 1 2/m 1'
_symmetry_Int_Tables_number 12
_cell_length_a 6.744
_cell_length_b 11.691
_cell_length_c 6.569
_cell_angle_alpha 90.00
_cell_angle_beta 109.97
_cell_angle_gamma 90.00
loop_
_symmetry_equiv_pos_as_xyz
'x,y,z'
'-x,-y,-z'
'-x,y,-z'
'x,-y,z'
'x+1/2,y+1/2,z'
'-x+1/2,-y+1/2,-z'
'-x+1/2,y+1/2,-z'
'x+1/2,-y+1/2,z'
loop_
_atom_site_label
_atom_site_type_symbol
_atom_site_fract_x
_atom_site_fract_y
_atom_site_fract_z
Li1 Li 0.000 0.000 0.000
Li2 Li 0.000 0.340 0.000
Er1 Er 0.000 0.167 0.500
Sb1 Sb 0.000 0.500 0.500
S1 S 0.247 0.000 0.750
S2 S 0.248 0.168 0.250
```

[3]
The following is a PBE calculation of CaNb after structural relaxation, from Alexandria.

Values from the calculation:
DOS(E_F) = 16.473 states/eV per cell
V = 445.2 Å³/cell
DFT total energy = -5.48 eV/atom
Density = 3.968 g/cm³

Geometry as CIF:
```
data_CaNb
_symmetry_space_group_name_H-M 'I m m a'
_symmetry_Int_Tables_number 74
_symmetry_space_group_name_Hall '-I 2b 2'
_cell_length_a 5.986
_cell_length_b 6.327
_cell_length_c 11.756
_cell_angle_alpha 90.00
_cell_angle_beta 90.00
_cell_angle_gamma 90.00
loop_
_atom_site_label
_atom_site_type_symbol
_atom_site_fract_x
_atom_site_fract_y
_atom_site_fract_z
Ca1 Ca 0.000 0.000 0.000
Ca2 Ca 0.000 0.250 0.315
Nb1 Nb 0.000 0.250 0.580
Nb2 Nb 0.250 0.250 0.750
```

Looking at size of the total moment for the records above, in order, we have 0.000; 0.000; 0.000 μB/atom.